# K2CuPd2 PBE relaxed
# uncorrected energy = -0.2360 Ry/atom
# E_form = 12.0 kJ per mole of atoms
# DOS at the Fermi energy = 4.35 states/eV/cell
# ρ = 4.992 g/cm3
data_K2CuPd2
_space_group_name_H-M_alt 'P 4/m b m'
_space_group_IT_number 127
_space_group_name_Hall '-P 4 2ab'
_cell_length_a 6.671
_cell_length_b 6.671
_cell_length_c 5.301
_cell_angle_alpha 90.00
_cell_angle_beta 90.00
_cell_angle_gamma 90.00
loop_
_atom_site_label
_atom_site_type_symbol
_atom_site_fract_x
_atom_site_fract_y
_atom_site_fract_z
_atom_site_occupancy
K1 K 0.177 0.323 0.000 1
Cu1 Cu 0.000 0.000 0.500 1
Pd1 Pd 0.142 0.642 0.500 1